i | KPPdCl2 after structural relaxation, computed with PBE.

abc: 5.3632 5.3632 4.4753
angles: 90.00 90.00 90.00
Last column: nearest neighbours and their distance in Å.
Fractional coordinates of all 5 atoms:
K 0.0000 0.0000 0.0000  8 Cl 3.49, 4 P 3.79
P 0.5000 0.5000 0.0000  2 Pd 2.24
Pd 0.5000 0.5000 0.5000  2 P 2.24
Cl 0.0000 0.5000 0.5000  2 Pd 2.68
Cl 0.5000 0.0000 0.5000  2 Pd 2.68

=====

ii | KPPdCl2 after structural relaxation, computed with PBE.

abc: 5.7747 5.7747 6.1045
angles: 90.00 90.00 90.00
Last column: nearest neighbours and their distance in Å.
Fractional coordinates of all 5 atoms:
K 0.0000 0.0000 0.0000  4 Cl 2.89, 2 P 3.05
P 0.0000 0.0000 0.5000  2 K 3.05
Pd 0.5000 0.5000 0.5000  4 P 4.08, 8 Cl 4.20
Cl 0.0000 0.5000 0.0000  2 K 2.89
Cl 0.5000 0.0000 0.0000  2 K 2.89

=====

Which one sits at the top of the stability order? i does.

=====

i | KPPtCl2 after structural relaxation, computed with PBE.

abc: 5.4207 5.4207 4.4333
angles: 90.00 90.00 90.00
Last column: nearest neighbours and their distance in Å.
Fractional coordinates of all 5 atoms:
K 0.0000 0.0000 0.0000  8 Cl 3.50, 4 P 3.83
P 0.5000 0.5000 0.0000  2 Pt 2.22
Pt 0.5000 0.5000 0.5000  2 P 2.22
Cl 0.0000 0.5000 0.5000  2 Pt 2.71
Cl 0.5000 0.0000 0.5000  2 Pt 2.71

=====

ii | KPPtCl2 after structural relaxation, computed with PBE.

abc: 5.5786 5.5786 6.1709
angles: 90.00 90.00 90.00
Last column: nearest neighbours and their distance in Å.
Fractional coordinates of all 5 atoms:
K 0.0000 0.0000 0.0000  4 Cl 2.79, 2 P 3.09
P 0.0000 0.0000 0.5000  2 K 3.09
Pt 0.5000 0.5000 0.5000  4 P 3.94, 8 Cl 4.16
Cl 0.0000 0.5000 0.0000  2 K 2.79
Cl 0.5000 0.0000 0.0000  2 K 2.79

=====

Which one sits at the top of the stability order? i does.

=====

i | KP2PtCl after structural relaxation, computed with PBE.

abc: 4.4814 4.4814 8.6270
angles: 90.00 90.00 90.00
Last column: nearest neighbours and their distance in Å.
Fractional coordinates of all 5 atoms:
K 0.0000 0.0000 0.0000  4 Cl 3.17
P 0.0000 0.5000 0.5000  2 Pt 2.24
P 0.5000 0.0000 0.5000  2 Pt 2.24
Pt 0.5000 0.5000 0.5000  4 P 2.24
Cl 0.5000 0.5000 0.0000  4 K 3.17

=====

ii | KP2PtCl after structural relaxation, computed with PBE.

abc: 6.2076 6.2076 5.4916
angles: 90.00 90.00 90.00
Last column: nearest neighbours and their distance in Å.
Fractional coordinates of all 5 atoms:
K 0.0000 0.0000 0.0000  2 Cl 2.75
P 0.0000 0.5000 0.0000  2 K 3.10
P 0.5000 0.0000 0.0000  2 K 3.10
Pt 0.5000 0.5000 0.5000  8 P 4.14, 4 Cl 4.39
Cl 0.0000 0.0000 0.5000  2 K 2.75

=====

Which one sits at the top of the stability order? i does.

=====

i | KRbPCl2 after structural relaxation, computed with PBE.

abc: 6.0730 6.0730 6.6207
angles: 90.00 90.00 90.00
Last column: nearest neighbours and their distance in Å.
Fractional coordinates of all 5 atoms:
K 0.0000 0.0000 0.0000  2 Rb 3.31
Rb 0.0000 0.0000 0.5000  4 Cl 3.04, 2 K 3.31
P 0.5000 0.5000 0.0000  4 K 4.29, 8 Cl 4.49
Cl 0.0000 0.5000 0.5000  2 Rb 3.04
Cl 0.5000 0.0000 0.5000  2 Rb 3.04

=====

ii | KRbPCl2 after structural relaxation, computed with PBE.

abc: 5.9768 5.9768 6.0188
angles: 90.00 90.00 90.00
Last column: nearest neighbours and their distance in Å.
Fractional coordinates of all 5 atoms:
K 0.0000 0.0000 0.0000  4 Cl 2.99, 2 P 3.01
Rb 0.5000 0.5000 0.5000  4 P 4.23, 8 Cl 4.24
P 0.0000 0.0000 0.5000  2 K 3.01
Cl 0.0000 0.5000 0.0000  2 K 2.99
Cl 0.5000 0.0000 0.0000  2 K 2.99

=====

iii | KRbPCl2 after structural relaxation, computed with PBE.

abc: 6.2316 6.2316 6.2478
angles: 90.00 90.00 90.00
Last column: nearest neighbours and their distance in Å.
Fractional coordinates of all 5 atoms:
K 0.0000 0.0000 0.0000  4 P 4.41, 8 Cl 4.41
Rb 0.5000 0.5000 0.5000  4 Cl 3.12, 2 P 3.12
P 0.5000 0.5000 0.0000  2 Rb 3.12
Cl 0.0000 0.5000 0.5000  2 Rb 3.12
Cl 0.5000 0.0000 0.5000  2 Rb 3.12

=====

Which one sits at the top of the stability order? ii does.